{
  "formula": "La4TlIn2Hg",
  "functional": "GGA-PBE",
  "state": "optimized geometry",
  "lattice": [[2.796, 1.614, 9.161], [-2.796, 1.614, 9.161], [0.000, -3.228, 9.161]],
  "species": ["La", "La", "La", "La", "Tl", "In", "In", "Hg"],
  "frac_coords": [[0.123, 0.123, 0.123], [0.373, 0.373, 0.373], [0.627, 0.627, 0.627], [0.877, 0.877, 0.877], [0.500, 0.500, 0.500], [0.250, 0.250, 0.250], [0.750, 0.750, 0.750], [0.000, 0.000, 0.000]],
  "total_magnetization_mub_per_cell": 0.00,
  "e_form_ev_per_atom": -0.48
}